Entry A
## LaCd2W (PBE)

Data for a geometry-optimized LaCd2W structure.

a = 3.375 Å, b = 4.920 Å, c = 11.092 Å
α = 90.00°, β = 90.00°, γ = 90.00°
Positions (direct):
La 0.000 0.000 0.000
La 0.500 0.500 0.500
Cd 0.000 0.500 0.218
Cd 0.000 0.500 0.782
Cd 0.500 0.000 0.282
Cd 0.500 0.000 0.718
W 0.000 0.000 0.500
W 0.500 0.500 0.000

Properties
DOS(E_F), states/eV per atom: 0.773

=====

Entry B
## LaCd2W (PBE)

Data for a geometry-optimized LaCd2W structure.

a = 4.558 Å, b = 4.558 Å, c = 8.988 Å
α = 90.00°, β = 90.00°, γ = 90.00°
Positions (direct):
La 0.000 0.000 0.000
La 0.500 0.500 0.500
Cd 0.000 0.000 0.500
Cd 0.000 0.500 0.250
Cd 0.500 0.000 0.750
Cd 0.500 0.500 0.000
W 0.000 0.500 0.750
W 0.500 0.000 0.250

Properties
DOS(E_F), states/eV per atom: 0.750

=====

Entry C
## LaCd2W (PBE)

Data for a geometry-optimized LaCd2W structure.

a = 4.277 Å, b = 4.277 Å, c = 21.818 Å
α = 90.00°, β = 90.00°, γ = 90.00°
Positions (direct):
La 0.000 0.000 0.000
La 0.000 0.500 0.250
La 0.500 0.000 0.750
La 0.500 0.500 0.500
Cd 0.206 0.250 0.625
Cd 0.250 0.706 0.875
Cd 0.250 0.794 0.375
Cd 0.294 0.250 0.125
Cd 0.706 0.750 0.125
Cd 0.750 0.206 0.375
Cd 0.750 0.294 0.875
Cd 0.794 0.750 0.625
W 0.000 0.000 0.500
W 0.000 0.500 0.750
W 0.500 0.000 0.250
W 0.500 0.500 0.000

Properties
DOS(E_F), states/eV per atom: 0.997

=====

Result of the stability comparison: entry A is the most stable of them.

=====

Entry A
## LaCd2W (PBE)

Data for a geometry-optimized LaCd2W structure.

a = 2.936 Å, b = 2.936 Å, c = 10.013 Å
α = 90.00°, β = 90.00°, γ = 90.00°
Positions (direct):
La 0.000 0.000 0.000
Cd 0.500 0.500 0.279
Cd 0.500 0.500 0.721
W 0.000 0.000 0.500

Properties
DOS(E_F), states/eV per atom: 0.698

=====

Entry B
## LaCd2W (PBE)

Data for a geometry-optimized LaCd2W structure.

a = 2.982 Å, b = 2.982 Å, c = 9.945 Å
α = 90.00°, β = 90.00°, γ = 90.00°
Positions (direct):
La 0.000 0.000 0.000
Cd 0.000 0.000 0.474
Cd 0.500 0.500 0.715
W 0.500 0.500 0.257

Properties
DOS(E_F), states/eV per atom: 0.500

=====

Entry C
## LaCd2W (PBE)

Data for a geometry-optimized LaCd2W structure.

a = 2.990 Å, b = 4.891 Å, c = 5.983 Å
α = 90.00°, β = 90.00°, γ = 90.00°
Positions (direct):
La 0.000 0.000 0.000
Cd 0.500 0.500 0.272
Cd 0.500 0.500 0.728
W 0.000 0.000 0.500

Properties
DOS(E_F), states/eV per atom: 0.943

=====

Entry D
## LaCd2W (PBE)

Data for a geometry-optimized LaCd2W structure.

a = 3.033 Å, b = 5.569 Å, c = 10.991 Å
α = 90.00°, β = 90.00°, γ = 90.00°
Positions (direct):
La 0.000 0.000 0.000
La 0.500 0.500 0.500
Cd 0.000 0.000 0.456
Cd 0.000 0.500 0.210
Cd 0.500 0.000 0.710
Cd 0.500 0.500 0.956
W 0.000 0.500 0.735
W 0.500 0.000 0.235

Properties
DOS(E_F), states/eV per atom: 0.929

=====

Result of the stability comparison: entry A is the most stable of them.